Record 1
# Ba2Ga6IrPd

An optimized crystal structure of Ba2Ga6IrPd (PBE, the Alexandria database).

Lattice parameters (Å, degrees): 6.675 6.687 7.108 62.10 62.04 60.17
Space group P-1 (No. 2)
Unique sites:
1 Ba 0.209 0.208 0.372 [2 per cell]
2 Ga 0.251 0.251 0.840 [2 per cell]
3 Ga 0.251 0.659 0.839 [2 per cell]
4 Ga 0.341 0.749 0.161 [2 per cell]
5 Ir 0.000 0.000 0.000 [1 per cell]
6 Pd 0.500 0.500 0.500 [1 per cell]

Properties
**Total magnetic moment**: 0.0 μB/f.u.
**Formation enthalpy at 0 K**: -5.09 eV per formula unit


Record 2
# Si4WBr

An optimized crystal structure of Si4WBr (PBE, the Alexandria database).

Lattice parameters (Å, degrees): 7.238 7.238 7.238 90.00 90.00 90.00
Space group F-43m (No. 216)
Unique sites:
1 Si 0.124 0.124 0.376 [16 per cell]
2 W 0.000 0.000 0.000 [4 per cell]
3 Br 0.250 0.250 0.750 [4 per cell]

Properties
**Total magnetic moment**: 0.0 μB/f.u.
**Raw formation energy**: 880 meV/atom


Record 3
# TlH3S

An optimized crystal structure of TlH3S (PBE, the Alexandria database).

Lattice parameters (Å, degrees): 3.847 3.847 3.847 90.00 90.00 90.00
Space group Pm-3m (No. 221)
Unique sites:
1 Tl 0.000 0.000 0.000 [1 per cell]
2 H 0.000 0.500 0.500 [3 per cell]
3 S 0.500 0.500 0.500 [1 per cell]

Properties
**Total magnetic moment**: 0.0 μB/f.u.
**ΔE to the lowest computed polymorph**: 0.721 eV per atom


Record 4
# Mn4BeZn

An optimized crystal structure of Mn4BeZn (PBE, the Alexandria database).

Lattice parameters (Å, degrees): 6.529 6.529 6.529 90.00 90.00 90.00
Space group F-43m (No. 216)
Unique sites:
1 Mn 0.125 0.125 0.125 [16 per cell]
2 Be 0.000 0.000 0.500 [4 per cell]
3 Zn 0.250 0.250 0.750 [4 per cell]

Properties
**Total magnetic moment**: 0.0 μB/f.u.
**Formation enthalpy at 0 K**: 2.06 eV per formula unit


Record 5
# GaFe3Co

An optimized crystal structure of GaFe3Co (PBE, the Alexandria database).

Lattice parameters (Å, degrees): 8.397 5.058 6.145 90.00 110.00 90.00
Space group C2/m (No. 12)
Unique sites:
1 Ga 0.062 0.000 0.246 [4 per cell]
2 Fe 0.056 0.500 0.217 [4 per cell]
3 Fe 0.153 0.257 0.622 [8 per cell]
4 Co 0.240 0.000 0.996 [4 per cell]

Properties
**Total magnetic moment**: 8.5 μB/f.u.
**ΔE to the lowest computed polymorph**: 0.134 eV per atom
**Formation enthalpy at 0 K**: 0.19 eV per formula unit


Record 6
# TbCeEr4

An optimized crystal structure of TbCeEr4 (PBE, the Alexandria database).

Lattice parameters (Å, degrees): 17.066 3.540 6.137 90.00 96.86 90.00
Space group C2/m (No. 12)
Unique sites:
1 Tb 0.000 0.000 0.000 [2 per cell]
2 Ce 0.000 0.500 0.500 [2 per cell]
3 Er 0.166 0.000 0.391 [4 per cell]
4 Er 0.168 0.500 0.887 [4 per cell]

Properties
**Total magnetic moment**: 0.8 μB/f.u.
**ΔE to the lowest computed polymorph**: 0.000 eV per atom
**Formation enthalpy at 0 K**: 0.12 eV per formula unit